DFT (PBE with a Hubbard U) results for crystalline FeB3F at its relaxed geometry.

Cell lengths 3.733, 3.733, 3.733 Å; angles 90.00, 90.00, 90.00 degrees
Element x y z (fractional)
B 0.000 0.500 0.000
B 0.500 0.000 0.000
B 0.000 0.000 0.500
Fe 0.000 0.000 0.000
F 0.500 0.500 0.500

Values from the calculation:
As for the energy above the most stable polymorph in this dataset: 0.0 meV per atom. The value obtained for the calculated density is 3423 kg/m³. The calculation puts the total energy at -20.6 eV per cell.